Entry 1:
This record from Alexandria via LeMat-Bulk describes crystalline AlRuW at its relaxed geometry. The functional is GGA-PBE.

## Properties
ΔH_f (0 K): -81 kJ/mol of formula units
E above lowest polymorph: 0.37 eV/f.u.
Spin magnetization: 0.00 μB per atom
Space-group type: Pm (6)

a b c (Å): 3.013 3.079 9.508
angles (deg): 90.00 92.08 90.00
Atoms (fractional coordinates):
Al1 0.000 0.000 0.000
Al2 0.028 0.000 0.300
Ru1 0.510 0.500 0.148
Ru2 0.544 0.500 0.466
W1 0.088 0.000 0.632
W2 0.499 0.500 0.815

Entry 2:
This record from Alexandria via LeMat-Bulk describes crystalline Al2RuW at its relaxed geometry. The functional is GGA-PBE.

## Properties
ΔH_f (0 K): 21 kJ/mol of formula units
E above lowest polymorph: 1.45 eV/f.u.
Spin magnetization: 0.00 μB per atom
Space-group type: Cmm2 (35)

a b c (Å): 2.764 2.764 8.730
angles (deg): 90.00 90.00 112.93
Atoms (fractional coordinates):
Al1 0.000 0.000 0.000
Al2 0.500 0.500 0.269
Ru1 0.500 0.500 0.768
W1 0.000 0.000 0.522

Entry 3:
This record from Alexandria via LeMat-Bulk describes crystalline Al2RuW at its relaxed geometry. The functional is GGA-PBE.

## Properties
ΔH_f (0 K): -110 kJ/mol of formula units
E above lowest polymorph: 0.09 eV/f.u.
Spin magnetization: 0.00 μB per atom
Space-group type: P4/mmm (123)

a b c (Å): 2.960 2.960 6.593
angles (deg): 90.00 90.00 90.00
Atoms (fractional coordinates):
Al1 0.000 0.000 0.217
Al2 0.000 0.000 0.783
Ru1 0.500 0.500 0.000
W1 0.500 0.500 0.500